KSr2Te, relaxed, DFT PBE-GGA; size of the total moment = 0.0 μB per formula unit; total energy = -8.68 eV per formula unit
1.0
0.000 4.483 4.483
4.483 0.000 4.483
4.483 4.483 0.000
K Sr Te
1 2 1
Direct
0.000 0.000 0.000 K
0.500 0.500 0.500 Sr
0.750 0.750 0.750 Sr
0.250 0.250 0.250 Te

***

In2AgBr4, relaxed, DFT PBE-GGA; size of the total moment = 0.0 μB per formula unit; total energy = -18.25 eV per formula unit
1.0
-2.760 2.760 7.612
2.760 -2.760 7.612
2.760 2.760 -7.612
In Ag Br
2 1 4
Direct
0.131 0.131 0.000 In
0.869 0.869 0.000 In
0.500 0.500 0.000 Ag
0.000 0.500 0.500 Br
0.321 0.321 0.000 Br
0.500 0.000 0.500 Br
0.679 0.679 0.000 Br

***

Cd3Pd2Pt, relaxed, DFT PBE-GGA; formation enthalpy at 0 K = -0.38 eV/atom; size of the total moment = 0.0 μB per formula unit; distance to the lowest polymorph of the same formula = 0.0 meV/atom
1.0
3.054 0.000 0.000
0.000 3.054 0.000
0.000 0.000 11.257
Cd Pd Pt
3 2 1
Direct
0.000 0.000 0.000 Cd
0.000 0.000 0.332 Cd
0.000 0.000 0.668 Cd
0.500 0.500 0.165 Pd
0.500 0.500 0.835 Pd
0.500 0.500 0.500 Pt